[1]
Compound: CuNi2Te
Source: Alexandria via LeMat-Bulk
Functional: PBE
Structure: optimized geometry

Calculated values
ΔE_f (raw) = 15 kJ per mole of atoms

The structure in CIF format:
```
data_CuNi2Te
_cell_length_a 3.381
_cell_length_b 3.381
_cell_length_c 5.064
_cell_angle_alpha 90.00
_cell_angle_beta 90.00
_cell_angle_gamma 90.00
_symmetry_space_group_name_H-M 'P 4 m m'
_symmetry_Int_Tables_number 99
loop_
_symmetry_equiv_pos_as_xyz
'x,y,z'
'-y,x,z'
'-x,-y,z'
'y,-x,z'
'-x,y,z'
'y,x,z'
'x,-y,z'
'-y,-x,z'
loop_
_atom_site_label
_atom_site_type_symbol
_atom_site_fract_x
_atom_site_fract_y
_atom_site_fract_z
Cu1 Cu 0.000 0.000 0.000
Ni1 Ni 0.000 0.000 0.472
Ni2 Ni 0.500 0.500 0.196
Te1 Te 0.500 0.500 0.689
```

[2]
Compound: KSeI2N
Source: Alexandria via LeMat-Bulk
Functional: PBE
Structure: optimized geometry

Calculated values
ΔE_f (raw) = 149 kJ per mole of atoms
Energy above the most stable polymorph in this dataset = 1409.9 meV per atom

The structure in CIF format:
```
data_KSeI2N
_cell_length_a 6.312
_cell_length_b 6.312
_cell_length_c 4.554
_cell_angle_alpha 90.00
_cell_angle_beta 90.00
_cell_angle_gamma 90.00
_symmetry_space_group_name_H-M 'P 4/m m m'
_symmetry_Int_Tables_number 123
_symmetry_space_group_name_Hall '-P 4 2'
loop_
_atom_site_label
_atom_site_type_symbol
_atom_site_fract_x
_atom_site_fract_y
_atom_site_fract_z
K1 K 0.000 0.000 0.000
Se1 Se 0.500 0.500 0.500
I1 I 0.000 0.500 0.000
N1 N 0.000 0.000 0.500
```

[3]
Compound: LiSi2Ag2
Source: Alexandria via LeMat-Bulk
Functional: PBE
Structure: optimized geometry

Calculated values
ΔE_f (raw) = 16 kJ per mole of atoms
Energy above the most stable polymorph in this dataset = 88.9 meV per atom

The structure in CIF format:
```
data_LiSi2Ag2
_cell_length_a 7.224
_cell_length_b 7.224
_cell_length_c 3.354
_cell_angle_alpha 90.00
_cell_angle_beta 90.00
_cell_angle_gamma 90.00
_symmetry_space_group_name_H-M 'P 4/m b m'
_symmetry_Int_Tables_number 127
_symmetry_space_group_name_Hall '-P 4 2ab'
loop_
_atom_site_label
_atom_site_type_symbol
_atom_site_fract_x
_atom_site_fract_y
_atom_site_fract_z
Li1 Li 0.000 0.000 0.000
Si1 Si 0.115 0.385 0.000
Ag1 Ag 0.193 0.693 0.500
```

[4]
Compound: TlOsNF2
Source: Alexandria via LeMat-Bulk
Functional: PBE
Structure: optimized geometry

Calculated values
ΔE_f (raw) = -53 kJ per mole of atoms
Energy above the most stable polymorph in this dataset = 0.0 meV per atom

The structure in CIF format:
```
data_TlOsNF2
_cell_length_a 4.472
_cell_length_b 4.472
_cell_length_c 3.767
_cell_angle_alpha 90.00
_cell_angle_beta 90.00
_cell_angle_gamma 90.00
_symmetry_space_group_name_H-M 'P 4/m m m'
_symmetry_Int_Tables_number 123
_symmetry_space_group_name_Hall '-P 4 2'
loop_
_atom_site_label
_atom_site_type_symbol
_atom_site_fract_x
_atom_site_fract_y
_atom_site_fract_z
Tl1 Tl 0.000 0.000 0.000
Os1 Os 0.500 0.500 0.500
N1 N 0.500 0.500 0.000
F1 F 0.000 0.500 0.500
```

[5]
Compound: LaSc2GeC
Source: Alexandria via LeMat-Bulk
Functional: PBE
Structure: optimized geometry

Calculated values
Energy above the most stable polymorph in this dataset = 0.0 meV per atom
DFT formation energy = -246 kJ/mol of formula units

The structure in CIF format:
```
data_LaSc2GeC
_cell_length_a 4.557
_cell_length_b 4.557
_cell_length_c 5.110
_cell_angle_alpha 90.00
_cell_angle_beta 90.00
_cell_angle_gamma 90.00
_symmetry_space_group_name_H-M 'P 4/m m m'
_symmetry_Int_Tables_number 123
_symmetry_space_group_name_Hall '-P 4 2'
loop_
_atom_site_label
_atom_site_type_symbol
_atom_site_fract_x
_atom_site_fract_y
_atom_site_fract_z
La1 La 0.000 0.000 0.000
Sc1 Sc 0.000 0.500 0.500
Ge1 Ge 0.500 0.500 0.000
C1 C 0.000 0.000 0.500
```

[6]
Compound: Na2CaAg2
Source: Alexandria via LeMat-Bulk
Functional: PBE
Structure: optimized geometry

Calculated values
Energy above the most stable polymorph in this dataset = 0.0 meV per atom
DFT formation energy = -39 kJ/mol of formula units

The structure in CIF format:
```
data_Na2CaAg2
_cell_length_a 4.291
_cell_length_b 4.291
_cell_length_c 14.429
_cell_angle_alpha 90.00
_cell_angle_beta 90.00
_cell_angle_gamma 90.00
_symmetry_space_group_name_H-M 'I 4/m m m'
_symmetry_Int_Tables_number 139
_symmetry_space_group_name_Hall '-I 4 2'
loop_
_atom_site_label
_atom_site_type_symbol
_atom_site_fract_x
_atom_site_fract_y
_atom_site_fract_z
Na1 Na 0.000 0.500 0.250
Ca1 Ca 0.000 0.000 0.000
Ag1 Ag 0.000 0.000 0.405
```

[7]
Compound: V5H4
Source: Alexandria via LeMat-Bulk
Functional: PBE
Structure: optimized geometry

Calculated values
Energy above the most stable polymorph in this dataset = 0.0 meV per atom

The structure in CIF format:
```
data_V5H4
_cell_length_a 6.992
_cell_length_b 6.992
_cell_length_c 3.166
_cell_angle_alpha 90.00
_cell_angle_beta 90.00
_cell_angle_gamma 90.00
_symmetry_space_group_name_H-M 'I 4/m'
_symmetry_Int_Tables_number 87
_symmetry_space_group_name_Hall '-I 4'
loop_
_atom_site_label
_atom_site_type_symbol
_atom_site_fract_x
_atom_site_fract_y
_atom_site_fract_z
V1 V 0.000 0.000 0.000
V2 V 0.102 0.701 0.500
H1 H 0.004 0.747 0.000
```

[8]
Compound: ThSb2
Source: Alexandria via LeMat-Bulk
Functional: PBE
Structure: optimized geometry

Calculated values
ΔE_f (raw) = -75 kJ per mole of atoms

The structure in CIF format:
```
data_ThSb2
_cell_length_a 4.414
_cell_length_b 4.414
_cell_length_c 9.186
_cell_angle_alpha 90.00
_cell_angle_beta 90.00
_cell_angle_gamma 90.00
_symmetry_space_group_name_H-M 'P 4/n m m'
_symmetry_Int_Tables_number 129
loop_
_symmetry_equiv_pos_as_xyz
'x,y,z'
'-x,-y,-z'
'-y+1/2,x,z'
'y+1/2,-x,-z'
'-x+1/2,-y+1/2,z'
'x+1/2,y+1/2,-z'
'y,-x+1/2,z'
'-y,x+1/2,-z'
'x+1/2,-y,-z'
'-x+1/2,y,z'
'-y,-x,-z'
'y,x,z'
'-x,y+1/2,-z'
'x,-y+1/2,z'
'y+1/2,x+1/2,-z'
'-y+1/2,-x+1/2,z'
loop_
_atom_site_label
_atom_site_type_symbol
_atom_site_fract_x
_atom_site_fract_y
_atom_site_fract_z
Th1 Th 0.250 0.250 0.223
Sb1 Sb 0.250 0.250 0.865
Sb2 Sb 0.250 0.750 0.500
```

[9]
Compound: Sm3Te2C
Source: Alexandria via LeMat-Bulk
Functional: PBE
Structure: optimized geometry

Calculated values
ΔE_f (raw) = -94 kJ per mole of atoms
Energy above the most stable polymorph in this dataset = 32.0 meV per atom

The structure in CIF format:
```
data_Sm3Te2C
_cell_length_a 13.940
_cell_length_b 6.105
_cell_length_c 7.922
_cell_angle_alpha 90.00
_cell_angle_beta 106.43
_cell_angle_gamma 90.00
_symmetry_space_group_name_H-M 'C 1 2/c 1'
_symmetry_Int_Tables_number 15
loop_
_symmetry_equiv_pos_as_xyz
'x,y,z'
'-x,-y,-z'
'-x,y,-z+1/2'
'x,-y,z+1/2'
'x+1/2,y+1/2,z'
'-x+1/2,-y+1/2,-z'
'-x+1/2,y+1/2,-z+1/2'
'x+1/2,-y+1/2,z+1/2'
loop_
_atom_site_label
_atom_site_type_symbol
_atom_site_fract_x
_atom_site_fract_y
_atom_site_fract_z
Sm1 Sm 0.000 0.049 0.250
Sm2 Sm 0.125 0.499 0.563
Te1 Te 0.179 0.001 0.090
C1 C 0.000 0.458 0.250
```

[10]
Compound: SiBSCl2
Source: Alexandria via LeMat-Bulk
Functional: PBE
Structure: optimized geometry

Calculated values
ΔE_f (raw) = 69 kJ per mole of atoms
Energy above the most stable polymorph in this dataset = 139.7 meV per atom

The structure in CIF format:
```
data_SiBSCl2
_cell_length_a 4.758
_cell_length_b 4.758
_cell_length_c 4.594
_cell_angle_alpha 90.00
_cell_angle_beta 90.00
_cell_angle_gamma 90.00
_symmetry_space_group_name_H-M 'P 4/m m m'
_symmetry_Int_Tables_number 123
_symmetry_space_group_name_Hall '-P 4 2'
loop_
_atom_site_label
_atom_site_type_symbol
_atom_site_fract_x
_atom_site_fract_y
_atom_site_fract_z
Si1 Si 0.000 0.000 0.000
B1 B 0.500 0.500 0.500
S1 S 0.000 0.000 0.500
Cl1 Cl 0.000 0.500 0.000
```

[11]
Compound: Na5Hg3Pb3
Source: Alexandria via LeMat-Bulk
Functional: PBE
Structure: optimized geometry

Calculated values
DFT formation energy = -51 kJ/mol of formula units

The structure in CIF format:
```
data_Na5Hg3Pb3
_cell_length_a 10.7315
_cell_length_b 10.7315
_cell_length_c 3.3763
_cell_angle_alpha 90.00
_cell_angle_beta 90.00
_cell_angle_gamma 120.00
_symmetry_space_group_name_H-M 'P -6 2 m'
_symmetry_Int_Tables_number 189
_symmetry_space_group_name_Hall 'P -6 -2'
loop_
_atom_site_label
_atom_site_type_symbol
_atom_site_fract_x
_atom_site_fract_y
_atom_site_fract_z
Na1 Na 0.0000 0.3285 0.0000
Na2 Na 0.3333 0.6667 0.0000
Hg1 Hg 0.0000 0.8397 0.0000
Pb1 Pb 0.0000 0.5917 0.5000
```

[12]
Compound: KRbN2Cl
Source: Alexandria via LeMat-Bulk
Functional: PBE
Structure: optimized geometry

Calculated values
ΔE_f (raw) = 93 kJ per mole of atoms

The structure in CIF format:
```
data_KRbN2Cl
_cell_length_a 5.442
_cell_length_b 5.442
_cell_length_c 6.331
_cell_angle_alpha 90.00
_cell_angle_beta 90.00
_cell_angle_gamma 90.00
_symmetry_space_group_name_H-M 'P 4/m m m'
_symmetry_Int_Tables_number 123
_symmetry_space_group_name_Hall '-P 4 2'
loop_
_atom_site_label
_atom_site_type_symbol
_atom_site_fract_x
_atom_site_fract_y
_atom_site_fract_z
K1 K 0.000 0.000 0.000
Rb1 Rb 0.500 0.500 0.500
N1 N 0.000 0.500 0.500
Cl1 Cl 0.500 0.500 0.000
```

[13]
Compound: SrTeOs2
Source: Alexandria via LeMat-Bulk
Functional: PBE
Structure: optimized geometry

Calculated values
ΔE_f (raw) = 99 kJ per mole of atoms
Energy above the most stable polymorph in this dataset = 924.3 meV per atom

The structure in CIF format:
```
data_SrTeOs2
_cell_length_a 4.173
_cell_length_b 4.173
_cell_length_c 9.332
_cell_angle_alpha 90.00
_cell_angle_beta 90.00
_cell_angle_gamma 90.00
_symmetry_space_group_name_H-M 'I 4/m m m'
_symmetry_Int_Tables_number 139
_symmetry_space_group_name_Hall '-I 4 2'
loop_
_atom_site_label
_atom_site_type_symbol
_atom_site_fract_x
_atom_site_fract_y
_atom_site_fract_z
Sr1 Sr 0.000 0.000 0.000
Te1 Te 0.000 0.000 0.500
Os1 Os 0.000 0.500 0.250
```